1.
The following is a DFT calculation (GGA-PBE) of Np2AlNi3P4 after structural relaxation.

- calculated formation energy (meV per atom) = -619.2
- final energy (eV/atom) = -7.480
- V (A^3/atom) = 15.0

Unit cell a=4.0253 b=4.0253 c=9.2697 alpha=90.00 beta=90.00 gamma=90.00
Space group P-4m2 (No. 115)
Inequivalent atoms, fractional coordinates:
1 Np 0.0000 0.5000 0.2353
2 Al 0.0000 0.0000 0.5000
3 Ni 0.0000 0.5000 0.8896
4 Ni 0.5000 0.5000 0.5000
5 P 0.0000 0.0000 0.0000
6 P 0.0000 0.5000 0.6468
7 P 0.5000 0.5000 0.0000

***

2.
The following is a DFT calculation (GGA-PBE) of Np2Al2Si4Ni after structural relaxation.

- final energy (eV/atom) = -7.032
- V (A^3/atom) = 16.5
- formation energy (no corrections) (eV/atom) = -0.2717

Unit cell a=6.0030 b=6.0030 c=8.2645 alpha=90.00 beta=90.00 gamma=90.00
Space group I4/mmm (No. 139)
Inequivalent atoms, fractional coordinates:
1 Np 0.0000 0.5000 0.2500
2 Al 0.0000 0.0000 0.2146
3 Si 0.2242 0.2242 0.0000
4 Ni 0.0000 0.0000 0.5000